This record from Alexandria describes an optimized crystal structure of RbLi3In. The functional is PBE-GGA.

The structure belongs to space group Pm-3m (No. 221); the cell edges are 5.5043, 5.5043 and 5.5043 Å and the angles 90.00°, 90.00° and 90.00°. The asymmetric unit holds Rb at (0.0000, 0.0000, 0.0000), Li at (0.0000, 0.5000, 0.5000) and In at (0.5000, 0.5000, 0.5000).

The calculation puts the density of states at the Fermi level at 1.00 states/eV per atom. As for the total energy: -1.876 eV/atom. The value obtained for the density is 2.2 Mg/m³. As for the energy relative to the elements: 0.0136 eV per atom.

This record from Alexandria describes an optimized crystal structure of HgWSe2. The functional is PBE-GGA.

The structure belongs to space group Pmmm (No. 47); the cell edges are 3.7063, 3.8279 and 7.2272 Å and the angles 90.00°, 90.00° and 90.00°. The asymmetric unit holds Hg at (0.0000, 0.0000, 0.0000), W at (0.0000, 0.5000, 0.5000), Se at (0.5000, 0.0000, 0.5000) and Se at (0.5000, 0.5000, 0.0000).

The calculation puts the density of states at the Fermi level at 0.57 states/eV per atom. The formation energy (no corrections) is 3.4 eV/f.u. As for the total energy: -4.195 eV/atom. The value obtained for the density is 8.8 Mg/m³.

This record from Alexandria describes an optimized crystal structure of MnCu2Pt. The functional is PBE-GGA.

The structure belongs to space group Pmm2 (No. 25); the cell edges are 2.8037, 3.6344 and 5.3347 Å and the angles 90.00°, 90.00° and 90.00°. The asymmetric unit holds Mn at (0.0000, 0.0000, 0.0000), Cu at (0.0000, 0.0000, 0.5175), Cu at (0.5000, 0.5000, 0.7443) and Pt at (0.5000, 0.5000, 0.2524).

The calculation puts the density of states at the Fermi level at 0.29 states/eV per atom. As for the total energy: -6.000 eV/atom. The value obtained for the density is 11.5 Mg/m³. As for the energy relative to the elements: -0.1490 eV per atom.

This record from Alexandria describes an optimized crystal structure of TbErTeP. The functional is PBE-GGA.

The structure belongs to space group R3m (No. 160, hexagonal axes); the cell edges are 4.0639, 4.0639 and 21.6218 Å and the angles 90.00°, 90.00° and 120.00°. The asymmetric unit holds Tb at (0.0000, 0.0000, 0.0000), Er at (0.0000, 0.0000, 0.8061), Te at (0.0000, 0.0000, 0.2347) and P at (0.0000, 0.0000, 0.4063).

The calculation puts the density of states at the Fermi level at 0.65 states/eV per atom. The formation energy (no corrections) is -6.1 eV/f.u. As for the total energy: -5.958 eV/atom. The value obtained for the density is 7.8 Mg/m³.

This record from Alexandria describes an optimized crystal structure of Sr7Tl2Ga2. The functional is PBE-GGA.

The structure belongs to space group C2/m (No. 12); the cell edges are 12.5242, 8.1213 and 8.7349 Å and the angles 90.00°, 90.05° and 90.00°. The asymmetric unit holds Sr at (0.0000, 0.0000, 0.0000), Sr at (0.0002, 0.5000, 0.2790), Sr at (0.2502, 0.2500, 0.2929), Tl at (0.1962, 0.5000, 0.0000) and Ga at (0.0000, 0.1554, 0.5000).

The calculation puts the density of states at the Fermi level at 0.75 states/eV per atom. As for the total energy: -2.196 eV/atom. The value obtained for the density is 4.3 Mg/m³. As for the energy relative to the elements: -0.1450 eV per atom.

This record from Alexandria describes an optimized crystal structure of SrTcSCl2. The functional is PBE-GGA.

The structure belongs to space group P4/mmm (No. 123); the cell edges are 5.3616, 5.3616 and 5.8422 Å and the angles 90.00°, 90.00° and 90.00°. The asymmetric unit holds Sr at (0.0000, 0.0000, 0.0000), Tc at (0.5000, 0.5000, 0.5000), S at (0.0000, 0.0000, 0.5000) and Cl at (0.0000, 0.5000, 0.0000).

The calculation puts the density of states at the Fermi level at 0.15 states/eV per atom. The formation energy (no corrections) is -0.4 eV/f.u. As for the total energy: -4.055 eV/atom. The value obtained for the density is 2.9 Mg/m³.

This record from Alexandria describes an optimized crystal structure of Cr2CoRu. The functional is PBE-GGA.

The structure belongs to space group F-43m (No. 216); the cell edges are 5.8285, 5.8285 and 5.8285 Å and the angles 90.00°, 90.00° and 90.00°. The asymmetric unit holds Cr at (0.0000, 0.0000, 0.0000), Cr at (0.2500, 0.2500, 0.2500), Co at (0.0000, 0.0000, 0.5000) and Ru at (0.2500, 0.2500, 0.7500).

The calculation puts the density of states at the Fermi level at 1.20 states/eV per atom. As for the total energy: -8.720 eV/atom. The value obtained for the density is 8.9 Mg/m³. As for the energy relative to the elements: 0.1867 eV per atom.

This record from Alexandria describes an optimized crystal structure of LaSmGe. The functional is PBE-GGA.

The structure belongs to space group F-43m (No. 216); the cell edges are 7.1938, 7.1938 and 7.1938 Å and the angles 90.00°, 90.00° and 90.00°. The asymmetric unit holds La at (0.0000, 0.0000, 0.0000), Sm at (0.0000, 0.0000, 0.5000) and Ge at (0.2500, 0.2500, 0.2500).

The calculation puts the density of states at the Fermi level at 1.11 states/eV per atom. As for the total energy: -5.300 eV/atom. The value obtained for the density is 6.5 Mg/m³. As for the energy relative to the elements: -0.5454 eV per atom.

This record from Alexandria describes an optimized crystal structure of TbHo7Er12. The functional is PBE-GGA.

The structure belongs to space group R-3 (No. 148, hexagonal axes); the cell edges are 18.3290, 18.3290 and 6.6287 Å and the angles 90.00°, 90.00° and 120.00°. The asymmetric unit holds Tb at (0.0000, 0.0000, 0.0000), Ho at (0.0000, 0.0000, 0.5000), Ho at (0.0091, 0.1571, 0.7806), Er at (0.0008, 0.2140, 0.2841) and Er at (0.0072, 0.5344, 0.7382).

The calculation puts the density of states at the Fermi level at 1.43 states/eV per atom. As for the total energy: -4.226 eV/atom. The value obtained for the density is 8.6 Mg/m³. As for the energy relative to the elements: 0.3452 eV per atom.

This record from Alexandria describes an optimized crystal structure of ZnTe2. The functional is PBE-GGA.

The structure belongs to space group I4/mcm (No. 140); the cell edges are 6.4780, 6.4780 and 7.5644 Å and the angles 90.00°, 90.00° and 90.00°. The asymmetric unit holds Zn at (0.0000, 0.0000, 0.2500) and Te at (0.1546, 0.3454, 0.0000).

The calculation puts the density of states at the Fermi level at 0.23 states/eV per atom. The formation energy (no corrections) is 0.1 eV/f.u. As for the total energy: -2.477 eV/atom. The value obtained for the density is 6.7 Mg/m³.

This record from Alexandria describes an optimized crystal structure of K6Rb2NaF. The functional is PBE-GGA.

The structure belongs to space group P1 (No. 1); the cell edges are 8.3884, 8.3898 and 10.8969 Å and the angles 111.91°, 111.91° and 91.34°. The asymmetric unit holds K at (0.0000, 0.0000, 0.0000), K at (0.0024, 0.5539, 0.0125), K at (0.4497, 0.4543, 0.3617), K at (0.5489, 0.5582, 0.0081), K at (0.5539, 0.0118, 0.0124), K at (0.9495, 0.9542, 0.3440), Rb at (0.0579, 0.5680, 0.5752), Rb at (0.5633, 0.0625, 0.5752), Na at (0.1551, 0.1600, 0.7585) and F at (0.8044, 0.8091, 0.0631).

The calculation puts the density of states at the Fermi level at 0.58 states/eV per atom. The formation energy (no corrections) is -4.8 eV/f.u. As for the total energy: -1.647 eV/atom. The value obtained for the density is 1.1 Mg/m³.

This record from Alexandria describes an optimized crystal structure of Th2AlOs. The functional is PBE-GGA.

The structure belongs to space group R3m (No. 160, hexagonal axes); the cell edges are 4.4790, 4.4790 and 16.9540 Å and the angles 90.00°, 90.00° and 120.00°. The asymmetric unit holds Th at (0.0000, 0.0000, 0.0000), Th at (0.0000, 0.0000, 0.2002), Al at (0.0000, 0.0000, 0.4292) and Os at (0.0000, 0.0000, 0.7780).

The calculation puts the density of states at the Fermi level at 1.06 states/eV per atom. As for the total energy: -7.702 eV/atom. The value obtained for the density is 11.5 Mg/m³. As for the energy relative to the elements: -0.2492 eV per atom.

- density of number 12 (Th2AlOs)?
  11.5 Mg/m³

- Look up the density of the fourth one.
  7.8 Mg/m³

- The lowest density belongs to which entry?
  K6Rb2NaF

- Which value of density does entry 6 give?
  2.9 Mg/m³